Record 1
LaSn2Sb2 (PBE, relaxed); spin magnetization = 0.00 μB per atom; calculated volume = 155.71 Å³/f.u.; total energy = -4.60 eV/atom; formation energy without anion corrections = -0.3613 eV/atom; DOS(E_F) = 2.946 states/eV/f.u.
1.0
-2.1961 2.1961 8.0712
2.1961 -2.1961 8.0712
2.1961 2.1961 -8.0712
La Sn Sb
1 2 2
direct
0.0000 0.0000 0.0000
0.2500 0.7500 0.5000
0.7500 0.2500 0.5000
0.4092 0.4092 0.0000
0.5908 0.5908 0.0000

---

Record 2
TmInS2 (PBE, relaxed); spin magnetization = 0.00 μB per atom; calculated volume = 101.40 Å³/f.u.; total energy = -5.26 eV/atom; formation energy without anion corrections = -1.3912 eV/atom
1.0
1.9616 1.1325 7.6073
-1.9616 1.1325 7.6073
0.0000 -2.2651 7.6073
Tm In S
1 1 2
direct
0.0000 0.0000 0.0000
0.1700 0.1700 0.1700
0.3978 0.3978 0.3978
0.5998 0.5998 0.5998

---

Record 3
KUBS4 (PBE, relaxed); spin magnetization = 0.29 μB per atom; calculated volume = 158.40 Å³/f.u.; total energy = -6.15 eV/atom; formation energy without anion corrections = -1.0700 eV/atom; DOS(E_F) = 6.869 states/eV/f.u.
1.0
6.0153 0.0000 0.0000
0.0000 6.2829 0.0000
-2.7715 0.0000 8.3824
K U B S
2 2 2 8
direct
0.2254 0.2500 0.4360
0.7746 0.7500 0.5640
0.2633 0.2500 0.9469
0.7367 0.7500 0.0531
0.2929 0.7500 0.1738
0.7071 0.2500 0.8262
0.1061 0.7500 0.3160
0.1132 0.7500 0.9460
0.4966 0.5048 0.2124
0.4966 0.9952 0.2124
0.5034 0.0048 0.7876
0.5034 0.4952 0.7876
0.8868 0.2500 0.0540
0.8939 0.2500 0.6840

---

Record 4
NaZn3Ge (PBE, relaxed); energy above the lowest structure with this stoichiometry = 0 meV per atom; spin magnetization = 0.00 μB per atom; calculated volume = 97.05 Å³/f.u.; total energy = -1.96 eV/atom; energy of formation from the pure elements = -0.06 eV per formula unit; DOS(E_F) = 1.606 states/eV/f.u.
1.0
2.1188 -8.1893 0.0000
2.1188 8.1893 0.0000
0.0000 0.0000 5.5934
Na Zn Ge
2 6 2
direct
0.0719 0.9281 0.7500
0.9281 0.0719 0.2500
0.1573 0.8427 0.2500
0.2979 0.7021 0.0124
0.2979 0.7021 0.4876
0.7021 0.2979 0.5124
0.7021 0.2979 0.9876
0.8427 0.1573 0.7500
0.4332 0.5668 0.7500
0.5668 0.4332 0.2500

---

What did the fourth record say?
NaZn3Ge (PBE, relaxed); energy above the lowest structure with this stoichiometry = 0 meV per atom; spin magnetization = 0.00 μB per atom; calculated volume = 97.05 Å³/f.u.; total energy = -1.96 eV/atom; energy of formation from the pure elements = -0.06 eV per formula unit; DOS(E_F) = 1.606 states/eV/f.u.
1.0
2.1188 -8.1893 0.0000
2.1188 8.1893 0.0000
0.0000 0.0000 5.5934
Na Zn Ge
2 6 2
direct
0.0719 0.9281 0.7500
0.9281 0.0719 0.2500
0.1573 0.8427 0.2500
0.2979 0.7021 0.0124
0.2979 0.7021 0.4876
0.7021 0.2979 0.5124
0.7021 0.2979 0.9876
0.8427 0.1573 0.7500
0.4332 0.5668 0.7500
0.5668 0.4332 0.2500